Crystalline CrFeP2O8 at its relaxed geometry, computed with PBE+U.

Unit cell a=4.8307 b=5.8175 c=9.9368 alpha=90.00 beta=91.17 gamma=90.00
Space group P2_1/m (No. 11)
Asymmetric unit:
Cr 0.0425 0.2500 0.2737 x2
Fe 0.4541 0.2500 0.7711 x2
P 0.1070 0.7500 0.4096 x2
P 0.4057 0.7500 0.9052 x2
O 0.1748 0.7500 0.5597 x2
O 0.2050 0.2500 0.6172 x2
O 0.2502 0.5452 0.8296 x4
O 0.2531 0.5433 0.3346 x4
O 0.2839 0.2500 0.1171 x2
O 0.3464 0.7500 0.0555 x2

Values from the calculation:
E   -7.324 eV per atom